(1)
Computed, not measured: a geometry-optimized LiUPt2 structure at the PBE-GGA level of DFT.

a = 3.2916 Å, b = 3.2916 Å, c = 6.4248 Å
α = 90.00°, β = 90.00°, γ = 90.00°
Closest atoms and distances in Å follow each position.
Atoms (fractional coordinates):
Li  0.0000  0.0000  0.0000  8 Pt 2.72
U  0.0000  0.0000  0.5000  8 Pt 2.94, 2 Li 3.21, 4 U 3.29
Pt  0.5000  0.5000  0.2203  4 Li 2.72, 1 Pt 2.83, 4 U 2.94
Pt  0.5000  0.5000  0.7797  4 Li 2.72, 1 Pt 2.83, 4 U 2.94

Results
electronic total energy: -27.89 eV/cell

=====

(2)
Computed, not measured: a geometry-optimized BP2Au structure at the PBE-GGA level of DFT.

a = 3.0260 Å, b = 3.3024 Å, c = 6.6047 Å
α = 86.95°, β = 89.32°, γ = 63.45°
Closest atoms and distances in Å follow each position.
Atoms (fractional coordinates):
B  0.0000  0.0000  0.0000  5 P 2.01-2.07
P  0.4739  0.0727  0.7904  2 B 2.05-2.06
P  0.6925  0.6023  0.1279  3 B 2.01-2.07
Au  0.6631  0.6397  0.4926  2 P 2.40-2.42

Results
electronic total energy: -20.03 eV/cell

=====

(3)
Computed, not measured: a geometry-optimized NdGePb structure at the PBE-GGA level of DFT.

a = 4.5290 Å, b = 4.5290 Å, c = 9.5149 Å
α = 90.00°, β = 90.00°, γ = 120.00°
Closest atoms and distances in Å follow each position.
Atoms (fractional coordinates):
Nd  0.0000  0.0000  0.1992  6 Ge 3.13-3.33, 3 Pb 3.35
Nd  0.0000  0.0000  0.8008  6 Ge 3.13-3.33, 3 Pb 3.35
Ge  0.3333  0.6667  0.9819  3 Ge 2.64
Ge  0.6667  0.3333  0.0181  3 Ge 2.64
Pb  0.3333  0.6667  0.4192  3 Pb 3.03, 3 Nd 3.35
Pb  0.6667  0.3333  0.5808  3 Pb 3.03, 3 Nd 3.35

Results
excess energy over the best structure of this formula in the dataset: 0.132 eV per atom

=====

(4)
Computed, not measured: a geometry-optimized TiCuSn2 structure at the PBE-GGA level of DFT.

a = 6.8230 Å, b = 6.8230 Å, c = 6.8230 Å
α = 90.00°, β = 90.00°, γ = 90.00°
Closest atoms and distances in Å follow each position.
Atoms (fractional coordinates):
Ti  0.0000  0.0000  0.0000  8 Sn 2.95
Ti  0.0000  0.5000  0.5000  8 Sn 2.95
Ti  0.5000  0.0000  0.5000  8 Sn 2.95
Ti  0.5000  0.5000  0.0000  8 Sn 2.95
Cu  0.0000  0.0000  0.5000  8 Sn 2.95
Cu  0.0000  0.5000  0.0000  8 Sn 2.95
Cu  0.5000  0.0000  0.0000  8 Sn 2.95
Cu  0.5000  0.5000  0.5000  8 Sn 2.95
Sn  0.2500  0.2500  0.2500  4 Cu 2.95, 4 Ti 2.95
Sn  0.2500  0.2500  0.7500  4 Cu 2.95, 4 Ti 2.95
Sn  0.2500  0.7500  0.2500  4 Cu 2.95, 4 Ti 2.95
Sn  0.2500  0.7500  0.7500  4 Cu 2.95, 4 Ti 2.95
Sn  0.7500  0.2500  0.2500  4 Cu 2.95, 4 Ti 2.95
Sn  0.7500  0.2500  0.7500  4 Cu 2.95, 4 Ti 2.95
Sn  0.7500  0.7500  0.2500  4 Cu 2.95, 4 Ti 2.95
Sn  0.7500  0.7500  0.7500  4 Cu 2.95, 4 Ti 2.95

Results
electronic total energy: -77.20 eV/cell

=====

(5)
Computed, not measured: a geometry-optimized Mg3CuBr structure at the PBE-GGA level of DFT.

a = 5.0336 Å, b = 5.0336 Å, c = 5.0336 Å
α = 90.00°, β = 90.00°, γ = 90.00°
Closest atoms and distances in Å follow each position.
Atoms (fractional coordinates):
Mg  0.0000  0.0000  0.5000  2 Cu 2.52
Mg  0.0000  0.5000  0.0000  2 Cu 2.52
Mg  0.5000  0.0000  0.0000  2 Cu 2.52
Cu  0.0000  0.0000  0.0000  6 Mg 2.52
Br  0.5000  0.5000  0.5000  12 Mg 3.56

Results
excess energy over the best structure of this formula in the dataset: 0.000 eV per atom

=====

(6)
Computed, not measured: a geometry-optimized Y6C2Se3N structure at the PBE-GGA level of DFT.

a = 6.4827 Å, b = 6.4827 Å, c = 6.9038 Å
α = 99.01°, β = 99.01°, γ = 119.98°
Closest atoms and distances in Å follow each position.
Atoms (fractional coordinates):
Y  0.0993  0.4326  0.7977  1 N 2.54, 2 C 2.54
Y  0.2341  0.2341  0.2028  2 C 2.54, 1 N 2.54
Y  0.4326  0.0993  0.7977  1 N 2.54, 2 C 2.54
Y  0.5674  0.9007  0.2023  1 N 2.54, 2 C 2.54
Y  0.7659  0.7659  0.7972  2 C 2.54, 1 N 2.54
Y  0.9007  0.5674  0.2023  1 N 2.54, 2 C 2.54
C  0.1668  0.8332  0.0000  6 Y 2.54
C  0.8332  0.1668  0.0000  6 Y 2.54
Se  0.0000  0.0000  0.5000  6 Y 2.91
Se  0.3331  0.6669  0.5000  6 Y 2.91
Se  0.6669  0.3331  0.5000  6 Y 2.91
N  0.5000  0.5000  0.0000  6 Y 2.54

Results
electronic total energy: -92.47 eV/cell

=====

| no. | N(E_F) (states/eV per cell) |
| --- | --- |
| 1 | 3.48 |
| 2 | 1.10 |
| 3 | 1.15 |
| 4 | 15.86 |
| 5 | 2.01 |
| 6 | 3.10 |